(1)
A relaxed structure of PrNdInSn. Source: Alexandria via LeMat-Bulk, functional PBE. Values from VASP.

Cell and atoms, written as Quantum ESPRESSO input:
```
&SYSTEM
  ibrav = 0, nat = 4, ntyp = 4
/
ATOMIC_SPECIES
Pr 140.91 Pr.upf
Nd 144.24 Nd.upf
In 114.82 In.upf
Sn 118.71 Sn.upf
CELL_PARAMETERS angstrom
0.000 3.897 3.897
3.897 0.000 3.897
3.897 3.897 0.000
ATOMIC_POSITIONS angstrom
Pr 0.000 0.000 0.000
Nd 3.897 3.897 3.897
In 5.845 5.845 5.845
Sn 1.948 1.948 1.948
```

- Fermi-level density of states (states/eV per atom) = 0.7727
- space-group type = F-43m, No. 216
- total moment (μB/cell) = 0.000
- offset from the most stable computed form (eV/atom) = 0.1005
- raw total energy (eV/atom) = -4.62

---

(2)
A relaxed structure of Sm2Ag4Hg3. Source: Alexandria via LeMat-Bulk, functional PBE. Values from VASP.

Cell and atoms, written as Quantum ESPRESSO input:
```
&SYSTEM
  ibrav = 0, nat = 18, ntyp = 3
/
ATOMIC_SPECIES
Sm 150.36 Sm.upf
Ag 107.87 Ag.upf
Hg 200.59 Hg.upf
CELL_PARAMETERS angstrom
3.039 -8.028 0.000
3.039 8.028 0.000
0.000 0.000 8.571
ATOMIC_POSITIONS angstrom
Sm 3.039 6.147 7.913
Sm 3.039 1.881 3.628
Sm 3.039 -1.881 4.943
Sm 3.039 -6.147 0.658
Ag 3.039 5.184 4.512
Ag 1.520 0.782 6.428
Ag 1.520 -0.782 2.143
Ag 3.039 2.844 0.227
Ag 3.039 -2.844 8.344
Ag 4.559 0.782 6.428
Ag 4.559 -0.782 2.143
Ag 3.039 -5.184 4.059
Hg 0.000 0.000 4.285
Hg 1.520 3.638 6.428
Hg 1.520 -3.638 2.143
Hg 3.039 0.000 0.000
Hg 4.559 3.638 6.428
Hg 4.559 -3.638 2.143
```

- Fermi-level density of states (states/eV per atom) = 0.5379
- space-group type = Cmce, No. 64
- total moment (μB/cell) = 0.000
- raw total energy (eV/atom) = -2.58

---

(3)
A relaxed structure of K3Sm3TcO8. Source: Alexandria via LeMat-Bulk, functional PBE. Values from VASP.

Cell and atoms, written as Quantum ESPRESSO input:
```
&SYSTEM
  ibrav = 0, nat = 15, ntyp = 4
/
ATOMIC_SPECIES
K 39.10 K.upf
Sm 150.36 Sm.upf
Tc 98.00 Tc.upf
O 16.00 O.upf
CELL_PARAMETERS angstrom
3.472 2.005 6.301
-3.472 2.005 6.301
0.000 -4.009 6.301
ATOMIC_POSITIONS angstrom
K -1.736 -1.002 6.301
K -1.736 1.002 12.602
K 0.000 2.005 6.301
Sm -3.472 0.000 9.451
Sm -1.736 1.002 3.150
Sm 1.736 1.002 3.150
Tc 0.000 0.000 9.451
O 0.000 0.000 4.336
O -1.563 -0.902 10.550
O 0.000 -1.805 8.353
O -1.563 0.902 8.353
O 1.563 -0.902 10.550
O 0.000 1.805 10.550
O 1.563 0.902 8.353
O 0.000 0.000 14.567
```

- formation energy (no corrections) (meV per atom) = -2397.3
- space-group type = R-3m, No. 166
- total moment (μB/cell) = 3.000
- raw total energy (eV/atom) = -6.90

---

(4)
A relaxed structure of ThAlTc2. Source: Alexandria via LeMat-Bulk, functional PBE. Values from VASP.

Cell and atoms, written as Quantum ESPRESSO input:
```
&SYSTEM
  ibrav = 0, nat = 4, ntyp = 3
/
ATOMIC_SPECIES
Th 232.04 Th.upf
Al 26.98 Al.upf
Tc 98.00 Tc.upf
CELL_PARAMETERS angstrom
4.570 0.000 0.000
0.000 4.570 0.000
0.000 0.000 3.487
ATOMIC_POSITIONS angstrom
Th 0.000 0.000 0.000
Al 2.285 2.285 0.000
Tc 0.000 2.285 1.744
Tc 2.285 0.000 1.744
```

- Fermi-level density of states (states/eV per atom) = 1.8254
- space-group type = P4/mmm, No. 123
- total moment (μB/cell) = 0.752
- offset from the most stable computed form (eV/atom) = 0.0704
- raw total energy (eV/atom) = -8.06

---

(5)
A relaxed structure of Ti2Zn2Cu2Au. Source: Alexandria via LeMat-Bulk, functional PBE. Values from VASP.

Cell and atoms, written as Quantum ESPRESSO input:
```
&SYSTEM
  ibrav = 0, nat = 7, ntyp = 4
/
ATOMIC_SPECIES
Ti 47.87 Ti.upf
Zn 65.41 Zn.upf
Cu 63.55 Cu.upf
Au 196.97 Au.upf
CELL_PARAMETERS angstrom
3.765 -2.175 0.000
3.765 2.175 0.000
-2.519 0.000 6.295
ATOMIC_POSITIONS angstrom
Ti -0.001 0.000 1.260
Ti 5.013 0.000 5.035
Zn -0.006 0.000 4.045
Zn 5.017 0.000 2.250
Cu 2.511 0.000 0.257
Cu 2.501 0.000 6.038
Au 2.506 0.000 3.148
```

- Fermi-level density of states (states/eV per atom) = 0.3899
- space-group type = C2/m, No. 12
- total moment (μB/cell) = 1.242
- raw total energy (eV/atom) = -4.41

---

(6)
A relaxed structure of BaLiAg2. Source: Alexandria via LeMat-Bulk, functional PBE. Values from VASP.

Cell and atoms, written as Quantum ESPRESSO input:
```
&SYSTEM
  ibrav = 0, nat = 4, ntyp = 3
/
ATOMIC_SPECIES
Ba 137.33 Ba.upf
Li 6.94 Li.upf
Ag 107.87 Ag.upf
CELL_PARAMETERS angstrom
3.631 0.000 0.000
0.000 3.809 0.000
0.000 0.000 7.406
ATOMIC_POSITIONS angstrom
Ba 0.000 0.000 0.000
Li 0.000 0.000 3.703
Ag 1.815 1.905 2.309
Ag 1.815 1.905 5.097
```

- Fermi-level density of states (states/eV per atom) = 0.5581
- space-group type = Pmmm, No. 47
- total moment (μB/cell) = 0.000
- offset from the most stable computed form (eV/atom) = 0.1040
- raw total energy (eV/atom) = -2.53